NaAcVO4 | PBE with a Hubbard U | optimized geometry

Output
* E_tot: -7.100 eV/atom
* size of the total moment: 1.000 μB per formula unit

Cell: 6.124 5.865 7.452 Å, 90.00 107.53 90.00°
Space group P2_1/m (No. 11)
Asymmetric unit:
Na  0.204  0.250  0.155 [2 per cell]
Ac  0.253  0.750  0.460 [2 per cell]
V  0.316  0.250  0.722 [2 per cell]
O  0.097  0.250  0.834 [2 per cell]
O  0.125  0.250  0.471 [2 per cell]
O  0.495  0.512  0.290 [4 per cell]